The following is a meta-GGA SCAN calculation of a crystal of AlRe2W relaxed with PBEsol, from Alexandria via LeMat-Bulk.

Results
* VASP energy: -220.06 eV per cell
* DFT formation energy: -105 meV per atom

```
data_AlRe2W
_chemical_formula_sum 'Al1 Re2 W1'
_space_group_name_H-M_alt 'P 1 m 1'
_space_group_IT_number 6
_space_group_name_Hall 'P -2y'
_cell_length_a 2.736
_cell_length_b 4.271
_cell_length_c 5.188
_cell_angle_alpha 90.00
_cell_angle_beta 104.35
_cell_angle_gamma 90.00
loop_
_atom_site_label
_atom_site_type_symbol
_atom_site_fract_x
_atom_site_fract_y
_atom_site_fract_z
Al1 Al 0.000 0.000 0.000
Re1 Re 0.510 0.000 0.494
Re2 Re 0.784 0.500 0.249
W1 W 0.319 0.500 0.759
```